Density functional theory data (PBE) for a geometry-optimized Pm6PrZn2 structure.

The energy above the lowest structure with this stoichiometry comes out at 0.0 meV/atom. The energy relative to the elements is -0.13 eV per atom. The value obtained for the volume is 30.3 Å³/atom.

The space group is C2/m (No. 12) and the conventional cell measures 12.7577, 3.7382 and 12.1026 Å, with angles of 90.00, 109.18 and 90.00 degrees. Symmetry generates all atoms from Pm at (0.0250, 0.0000, 0.3301), Pm at (0.1880, 0.5000, 0.5895), Pm at (0.1900, 0.5000, 0.8743), Pr at (0.0000, 0.0000, 0.0000) and Zn at (0.1497, 0.5000, 0.2070).